Entry 1:
# AgGeO3

An optimized crystal structure of AgGeO3 (GGA-PBE, Alexandria).

## Properties
spin magnetization	0.0	Bohr magnetons per cell
formation energy from raw total energies	-0.89	eV per atom

Unit cell a=7.1367 b=3.0003 c=5.3088 alpha=90.00 beta=90.00 gamma=90.00
Space group Pmma (No. 51)
Asymmetric unit:
Ag 0.2500 0.0000 0.0192
Ge 0.0000 0.5000 0.5000
O 0.0263 0.0000 0.7431
O 0.2500 0.5000 0.4125

---

Entry 2:
# Ag2GeO3

An optimized crystal structure of Ag2GeO3 (GGA-PBE, Alexandria).

## Properties
spin magnetization	0.0	Bohr magnetons per cell
formation energy from raw total energies	-0.85	eV per atom
offset from the most stable computed form	0	meV/atom

Unit cell a=4.7262 b=7.1157 c=10.7043 alpha=90.00 beta=90.00 gamma=90.00
Space group P2_12_12_1 (No. 19)
Asymmetric unit:
Ag 0.0178 0.1021 0.2718
Ag 0.0924 0.1297 0.6234
Ge 0.0179 0.6330 0.5652
O 0.1507 0.9169 0.9581
O 0.1918 0.6445 0.7119
O 0.2277 0.3290 0.9411

---

Entry 3:
# Ag2GeO3

An optimized crystal structure of Ag2GeO3 (GGA-PBE, Alexandria).

## Properties
spin magnetization	0.0	Bohr magnetons per cell
formation energy from raw total energies	-0.82	eV per atom
offset from the most stable computed form	26	meV/atom

Unit cell a=10.0051 b=6.8397 c=5.2760 alpha=90.00 beta=90.00 gamma=90.00
Space group Cmc2_1 (No. 36)
Asymmetric unit:
Ag 0.1497 0.0892 0.0000
Ge 0.0000 0.3616 0.5220
O 0.0000 0.4028 0.1808
O 0.1490 0.2391 0.5985